[1]
PrZr2Sn PBE-GGA optimized geometry; space group = P4/mmm; energy relative to the elements = -5.4 kcal/mol of atoms; Fermi-level density of states = 5.5 states/eV per cell; DFT total energy = -6.71 eV/atom
1.0
4.547 0.000 0.000
0.000 4.681 0.000
0.000 0.000 4.681
Pr Sn Zr
1 1 2
Direct
0.500 0.000 0.000 Pr
0.500 0.500 0.500 Sn
0.000 0.000 0.500 Zr
0.000 0.500 0.000 Zr

=====

[2]
Er6AsSe5 PBE-GGA optimized geometry; formation energy (no corrections) = -1.695 eV/atom; space group = C2/m; Fermi-level density of states = 5.6 states/eV per cell; DFT total energy = -5.82 eV/atom
1.0
6.864 -1.103 -0.850
-2.654 6.425 -0.850
-0.397 -0.502 6.991
As Se Er
1 5 6
Direct
0.000 0.000 0.000 As
0.831 0.169 0.500 Se
0.667 0.333 0.000 Se
0.500 0.500 0.500 Se
0.333 0.667 0.000 Se
0.169 0.831 0.500 Se
0.919 0.595 0.758 Er
0.405 0.081 0.242 Er
0.756 0.756 0.243 Er
0.244 0.244 0.757 Er
0.595 0.919 0.758 Er
0.081 0.405 0.242 Er

=====

[3]
Dy3Cd3C PBE-GGA optimized geometry; space group = Fd-3m; energy relative to the elements = -8.2 kcal/mol of atoms; Fermi-level density of states = 19.6 states/eV per cell; DFT total energy = -4.04 eV/atom
1.0
2.620 4.584 7.991
4.441 -4.769 7.019
9.272 1.620 1.770
Dy Cd C
12 12 4
Direct
0.060 0.440 0.060 Dy
0.190 0.190 0.810 Dy
0.810 0.810 0.190 Dy
0.810 0.190 0.810 Dy
0.810 0.190 0.190 Dy
0.190 0.810 0.810 Dy
0.440 0.060 0.060 Dy
0.060 0.060 0.440 Dy
0.440 0.440 0.060 Dy
0.060 0.440 0.440 Dy
0.190 0.810 0.190 Dy
0.440 0.060 0.440 Dy
0.833 0.833 0.833 Cd
0.417 0.417 0.749 Cd
0.417 0.749 0.417 Cd
0.749 0.417 0.417 Cd
0.833 0.501 0.833 Cd
0.501 0.833 0.833 Cd
0.833 0.833 0.501 Cd
0.417 0.417 0.417 Cd
0.625 0.625 0.625 Cd
0.625 0.625 0.125 Cd
0.625 0.125 0.625 Cd
0.125 0.625 0.625 Cd
0.125 0.125 0.125 C
0.125 0.125 0.625 C
0.125 0.625 0.125 C
0.625 0.125 0.125 C

=====

[4]
CoSiC2I PBE-GGA optimized geometry; formation energy (no corrections) = 1.694 eV/atom; space group = P4/mmm; Fermi-level density of states = 5.9 states/eV per cell; DFT total energy = -4.81 eV/atom
1.0
3.652 0.000 0.000
0.000 6.707 0.000
0.000 0.000 3.652
I Si Co C
1 1 1 2
Direct
0.500 0.500 0.500 I
0.000 0.000 0.000 Si
0.000 0.500 0.000 Co
0.000 0.000 0.500 C
0.500 0.000 0.000 C

=====

[5]
La2TbSmY PBE-GGA optimized geometry; space group = Pmma; energy relative to the elements = 5.4 kcal/mol of atoms; Fermi-level density of states = 12.9 states/eV per cell; DFT total energy = -4.90 eV/atom
1.0
6.781 0.000 0.000
0.000 7.823 1.420
0.000 -1.161 6.387
La Tb Sm Y
4 2 2 2
Direct
0.705 0.700 0.750 La
0.705 0.300 0.750 La
0.295 0.700 0.250 La
0.295 0.300 0.250 La
0.176 0.500 0.750 Tb
0.824 0.500 0.250 Tb
0.587 0.000 0.250 Sm
0.413 0.000 0.750 Sm
0.000 0.000 0.000 Y
0.000 0.000 0.500 Y

=====

[6]
RbEu3Hg PBE-GGA optimized geometry; space group = Pm-3m; energy relative to the elements = -1.0 kcal/mol of atoms; Fermi-level density of states = 30.0 states/eV per cell; DFT total energy = -6.46 eV/atom
1.0
6.319 0.000 0.000
0.000 6.319 0.000
0.000 0.000 6.319
Eu Hg Rb
3 1 1
Direct
0.000 0.500 0.000 Eu
0.000 0.000 0.500 Eu
0.500 0.000 0.000 Eu
0.000 0.000 0.000 Hg
0.500 0.500 0.500 Rb